(1)
Density functional theory data (PBE) for a relaxed structure of Be2SiMo.

Cell and atoms, written as POSCAR:
```
Be2SiMo
1.0
2.4864 -3.6472 0.0000
2.4864 3.6472 0.0000
0.0000 0.0000 2.6311
Be Si Mo
2 1 1
direct
0.0000 0.5000 0.0000 Be
0.5000 0.0000 0.0000 Be
0.0000 0.0000 0.5000 Si
0.5000 0.5000 0.5000 Mo
```

Summary:
- total energy (eV per cell) = -23.3

=====

(2)
Density functional theory data (PBE) for a relaxed structure of BeSiMo2.

Cell and atoms, written as POSCAR:
```
BeSiMo2
1.0
4.3988 -1.6266 0.0000
4.3988 1.6266 0.0000
-2.0962 0.0000 3.7616
Be Si Mo
1 1 2
direct
0.0000 0.0000 0.0000 Be
0.5000 0.5000 0.5000 Si
0.2555 0.2555 0.7556 Mo
0.7445 0.7445 0.2444 Mo
```

Summary:
- total energy (eV per cell) = -30.9

=====

(3)
Density functional theory data (PBE) for a relaxed structure of Be2SiMo.

Cell and atoms, written as POSCAR:
```
Be2SiMo
1.0
2.8897 0.0000 0.0000
0.0000 3.3294 0.0000
0.0000 0.0000 4.9351
Be Si Mo
2 1 1
direct
0.0000 0.0000 0.0000 Be
0.5000 0.5000 0.2215 Be
0.5000 0.5000 0.7457 Si
0.0000 0.0000 0.4904 Mo
```

Summary:
- total energy (eV per cell) = -23.7

=====

(4)
Density functional theory data (PBE) for a relaxed structure of BeSi2Mo.

Cell and atoms, written as POSCAR:
```
BeSi2Mo
1.0
3.4937 0.0000 0.0000
0.0000 3.4937 0.0000
0.0000 0.0000 4.0833
Be Si Mo
1 2 1
direct
0.0000 0.0000 0.0000 Be
0.0000 0.5000 0.5000 Si
0.5000 0.0000 0.5000 Si
0.5000 0.5000 0.0000 Mo
```

Summary:
- total energy (eV per cell) = -25.1

=====

(5)
Density functional theory data (PBE) for a relaxed structure of BeSi3Mo.

Cell and atoms, written as POSCAR:
```
BeSi3Mo
1.0
4.7429 0.0000 0.0000
0.0000 4.7429 0.0000
0.0000 0.0000 4.7429
Be Si Mo
1 3 1
direct
0.0000 0.0000 0.0000 Be
0.0000 0.5000 0.5000 Si
0.5000 0.0000 0.5000 Si
0.5000 0.5000 0.0000 Si
0.5000 0.5000 0.5000 Mo
```

Summary:
- total energy (eV per cell) = -26.1

=====

(6)
Density functional theory data (PBE) for a relaxed structure of BeSi2Mo.

Cell and atoms, written as POSCAR:
```
BeSi2Mo
1.0
4.3594 -1.3384 0.0000
4.3594 1.3384 0.0000
-0.4291 0.0000 4.4618
Be Si Mo
1 2 1
direct
0.0000 0.0000 0.0000 Be
0.2423 0.2423 0.7566 Si
0.7577 0.7577 0.2434 Si
0.5000 0.5000 0.5000 Mo
```

Summary:
- total energy (eV per cell) = -25.1

=====

(7)
Density functional theory data (PBE) for a relaxed structure of BeSiMo2.

Cell and atoms, written as POSCAR:
```
BeSiMo2
1.0
3.4391 0.0000 0.0000
0.0000 1.6507 4.5827
0.0000 -1.6507 4.5827
Be Si Mo
1 1 2
direct
0.0000 0.0000 0.0000 Be
0.5000 0.8520 0.8520 Si
0.0000 0.2691 0.2691 Mo
0.5000 0.5653 0.5653 Mo
```

Summary:
- total energy (eV per cell) = -32.0

=====

(8)
Density functional theory data (PBE) for a relaxed structure of BeSi2Mo.

Cell and atoms, written as POSCAR:
```
BeSi2Mo
1.0
-1.6300 1.9628 3.9313
1.6300 -1.9628 3.9313
1.6300 1.9628 -3.9313
Be Si Mo
1 2 1
direct
0.0000 0.0000 0.0000 Be
0.2235 0.7235 0.5000 Si
0.4873 0.4873 0.0000 Si
0.7415 0.2415 0.5000 Mo
```

Summary:
- total energy (eV per cell) = -25.6